(1)
Density functional theory data (PBE-GGA) for Pd2SF after structural relaxation.

Cell lengths 3.0866, 3.0866, 7.7992 Å; angles 78.59, 78.59, 60.00 degrees
Last column: nearest neighbours and their distance in Å.
Element x y z (fractional)
Pd (0.0922, 0.0922, 0.7234)  1 F 2.10
Pd (0.9078, 0.9078, 0.2766)  1 F 2.10
F (0.0000, 0.0000, 0.0000)  2 Pd 2.10
S (0.5000, 0.5000, 0.5000)  6 Pd 2.46

Computed properties:
E_tot = -0.329 Ry/atom
Space group = No. 166
V = 15.7 Å³/atom
E_form (uncorrected) = -0.378 eV per atom

(2)
Density functional theory data (PBE-GGA) for PdSF2 after structural relaxation.

Cell lengths 8.3154, 8.3154, 8.3154 Å; angles 19.32, 19.32, 19.32 degrees
Last column: nearest neighbours and their distance in Å.
Element x y z (fractional)
Pd (0.5000, 0.5000, 0.5000)  6 Pd 2.79, 6 F 2.82
F (0.9277, 0.9277, 0.9277)  1 S 1.77
F (0.0723, 0.0723, 0.0723)  1 S 1.77
S (0.0000, 0.0000, 0.0000)  2 F 1.77

Computed properties:
E_tot = -0.273 Ry/atom
Space group = No. 166
Polymorph energy (0 for the lowest one) = 0.0 meV per atom
V = 13.7 Å³/atom
E_form (uncorrected) = -0.443 eV per atom

(3)
Density functional theory data (PBE-GGA) for PdSF2 after structural relaxation.

Cell lengths 8.2223, 8.2223, 8.2223 Å; angles 19.42, 19.42, 19.42 degrees
Last column: nearest neighbours and their distance in Å.
Element x y z (fractional)
S (0.5000, 0.5000, 0.5000)  6 F 2.62, 6 S 2.77
F (0.0809, 0.0809, 0.0809)  1 Pd 1.96
F (0.9191, 0.9191, 0.9191)  1 Pd 1.96
Pd (0.0000, 0.0000, 0.0000)  2 F 1.96

Computed properties:
E_tot = -0.260 Ry/atom
Space group = No. 166
Polymorph energy (0 for the lowest one) = 167.3 meV per atom
V = 13.4 Å³/atom
E_form (uncorrected) = -0.276 eV per atom

(4)
Density functional theory data (PBE-GGA) for PdSF2 after structural relaxation.

Cell lengths 4.1450, 4.1450, 4.1450 Å; angles 60.00, 60.00, 60.00 degrees
Last column: nearest neighbours and their distance in Å.
Element x y z (fractional)
F (0.7500, 0.7500, 0.7500)  4 Pd 2.54, 4 S 2.54
F (0.2500, 0.2500, 0.2500)  4 Pd 2.54, 4 S 2.54
S (0.0000, 0.0000, 0.0000)  8 F 2.54
Pd (0.5000, 0.5000, 0.5000)  8 F 2.54

Computed properties:
E_tot = -0.238 Ry/atom
Space group = No. 225
Polymorph energy (0 for the lowest one) = 473.5 meV per atom
V = 12.6 Å³/atom
E_form (uncorrected) = 0.031 eV per atom